Record 1
Density functional theory data (PBE-GGA) for a relaxed structure of K2ZnH12S2O14.

Computed properties:
Magnetic moment: 0.21 μB per formula unit
Space group: P2_1/c (14)
E: -5.245 eV/atom
Crystal system: monoclinic

Geometry as CIF:
```
data_K2ZnH12S2O14
_chemical_formula_sum 'K4 Zn2 H24 S4 O28'
_cell_length_a 6.2605
_cell_length_b 9.0684
_cell_length_c 12.3204
_cell_angle_alpha 90.00
_cell_angle_beta 90.00
_cell_angle_gamma 103.77
_symmetry_space_group_name_H-M 'P 1'
_symmetry_Int_Tables_number 1
_symmetry_space_group_name_Hall 'P 1'
loop_
_atom_site_label
_atom_site_fract_x
_atom_site_fract_y
_atom_site_fract_z
_atom_site_occupancy
H1 0.3241 0.5234 0.3563 1
S1 0.2745 0.5882 0.1384 1
O1 0.9717 0.1743 0.1185 1
H2 0.0806 0.7728 0.3954 1
H3 0.9194 0.7272 0.8954 1
K1 0.6592 0.8650 0.3429 1
O2 0.7082 0.0127 0.9325 1
O3 0.5831 0.4037 0.7632 1
H4 0.9194 0.2272 0.6046 1
O4 0.4169 0.5963 0.2368 1
O5 0.7082 0.5127 0.5675 1
O6 0.2918 0.4873 0.4325 1
O7 0.2918 0.9873 0.0675 1
S2 0.7255 0.4118 0.8616 1
O8 0.7433 0.0595 0.5824 1
O9 0.5831 0.9037 0.7368 1
H5 0.6745 0.7787 0.0881 1
H6 0.0953 0.2537 0.8755 1
K2 0.3408 0.6350 0.8429 1
O10 0.1744 0.1724 0.8868 1
K3 0.6592 0.3650 0.1571 1
H7 0.0806 0.2728 0.1046 1
O11 0.6175 0.2869 0.9376 1
O12 0.0283 0.3257 0.6185 1
O13 0.7433 0.5595 0.9176 1
K4 0.3408 0.1350 0.6571 1
H8 0.3255 0.2213 0.9119 1
O14 0.4169 0.0963 0.2632 1
H9 0.9952 0.3559 0.6932 1
O15 0.9489 0.8933 0.6705 1
H10 0.0048 0.1441 0.1932 1
O16 0.8256 0.3276 0.3868 1
H11 0.9047 0.2463 0.3755 1
S3 0.7255 0.9118 0.6384 1
H12 0.3276 0.3862 0.4378 1
H13 0.6745 0.2787 0.4119 1
H14 0.6759 0.4766 0.6437 1
H15 0.3276 0.8862 0.0622 1
H16 0.3255 0.7213 0.5881 1
O17 0.0511 0.1067 0.3295 1
H17 0.6724 0.6138 0.5622 1
O18 0.9717 0.6743 0.3815 1
O19 0.2567 0.4405 0.0824 1
O20 0.6175 0.7869 0.5624 1
O21 0.3825 0.7131 0.0624 1
H18 0.6759 0.9766 0.8563 1
S4 0.2745 0.0882 0.3616 1
O22 0.0283 0.8257 0.8815 1
H19 0.0953 0.7537 0.6245 1
O23 0.9489 0.3933 0.8295 1
O24 0.3825 0.2131 0.4376 1
O25 0.8256 0.8276 0.1132 1
O26 0.2567 0.9405 0.4176 1
H20 0.3241 0.0234 0.1437 1
H21 0.9047 0.7463 0.1245 1
O27 0.0511 0.6067 0.1705 1
O28 0.1744 0.6724 0.6132 1
H22 0.9952 0.8559 0.8068 1
H23 0.6724 0.1138 0.9378 1
Zn1 0.0000 0.5000 0.5000 1
Zn2 0.0000 0.0000 0.0000 1
H24 0.0048 0.6441 0.3068 1
```



Record 2
Density functional theory data (PBE-GGA) for a relaxed structure of Ho2FeTe.

Computed properties:
Magnetic moment: 1.42 μB per formula unit
Space group: R-3m (166)
ΔE_f (raw): 227 meV per atom
Crystal system: trigonal

Geometry as CIF:
```
data_Ho2FeTe
_chemical_formula_sum 'Ho2 Fe1 Te1'
_cell_length_a 3.7839
_cell_length_b 3.7839
_cell_length_c 9.4031
_cell_angle_alpha 78.39
_cell_angle_beta 78.39
_cell_angle_gamma 60.00
_symmetry_space_group_name_H-M 'P 1'
_symmetry_Int_Tables_number 1
_symmetry_space_group_name_Hall 'P 1'
loop_
_atom_site_label
_atom_site_fract_x
_atom_site_fract_y
_atom_site_fract_z
_atom_site_occupancy
Fe1 0.0000 0.0000 0.0000 1
Ho1 0.9100 0.9100 0.2699 1
Ho2 0.0900 0.0900 0.7301 1
Te1 0.5000 0.5000 0.5000 1
```



Record 3
Density functional theory data (PBE-GGA) for a relaxed structure of NbTl3Sn.

Computed properties:
Magnetic moment: 4.16 μB per formula unit
Formation energy from the elements: 1.232 eV/atom
Space group: Pm-3m (221)
ΔE to the lowest computed polymorph: 559 meV per atom
Crystal system: cubic

Geometry as CIF:
```
data_NbTl3Sn
_chemical_formula_sum 'Nb1 Tl3 Sn1'
_cell_length_a 5.7335
_cell_length_b 5.7335
_cell_length_c 5.7335
_cell_angle_alpha 90.00
_cell_angle_beta 90.00
_cell_angle_gamma 90.00
_symmetry_space_group_name_H-M 'P 1'
_symmetry_Int_Tables_number 1
_symmetry_space_group_name_Hall 'P 1'
loop_
_atom_site_label
_atom_site_fract_x
_atom_site_fract_y
_atom_site_fract_z
_atom_site_occupancy
Sn1 0.0000 0.0000 0.0000 1
Tl1 0.0000 0.0000 0.5000 1
Tl2 0.0000 0.5000 0.0000 1
Nb1 0.5000 0.5000 0.5000 1
Tl3 0.5000 0.0000 0.0000 1
```